Entry 1:
VASP calculation (PBE) on crystalline SrThTl2Br8 at its relaxed geometry.

Computed properties:
As for the total DFT energy (no corrections): -45.53 eV for the cell shown. The value obtained for the formation energy (no corrections) is -18.31 eV per formula unit.

The structure in extended XYZ format:
```
12
Lattice="7.2918 0.0000 0.0000 0.0000 9.2525 0.0000 -0.3407 0.0000 7.6514" Properties=species:S:1:pos:R:3 pbc="T T T"
Sr 0.0000 0.0000 0.0000
Th 0.0000 4.6263 0.0000
Tl 3.4756 2.2401 3.8257
Tl 3.4756 7.0124 3.8257
Br 1.4171 4.6263 2.4239
Br 1.3344 2.4987 6.6483
Br 1.3344 6.7539 6.6483
Br 1.7240 0.0000 2.4578
Br 5.2271 0.0000 5.1936
Br 5.6167 2.4987 1.0031
Br 5.6167 6.7539 1.0031
Br 5.5341 4.6263 5.2275
```



Entry 2:
VASP calculation (PBE) on crystalline SrTi3Br at its relaxed geometry.

Computed properties:
As for the total DFT energy (no corrections): -17.18 eV for the cell shown. The distance to the lowest polymorph of the same formula comes out at 1471.9 meV/atom. The value obtained for the formation energy (no corrections) is 9.86 eV per formula unit.

The structure in extended XYZ format:
```
5
Lattice="5.0954 0.0000 0.0000 0.0000 5.0954 0.0000 0.0000 0.0000 5.0954" Properties=species:S:1:pos:R:3 pbc="T T T"
Sr 0.0000 0.0000 0.0000
Ti 0.0000 0.0000 2.5477
Ti 0.0000 2.5477 0.0000
Ti 2.5477 0.0000 0.0000
Br 2.5477 2.5477 2.5477
```



Entry 3:
VASP calculation (PBE) on crystalline SrTi3Br at its relaxed geometry.

Computed properties:
As for the total DFT energy (no corrections): -24.54 eV for the cell shown. The distance to the lowest polymorph of the same formula comes out at 0.0 meV/atom. The value obtained for the formation energy (no corrections) is 2.50 eV per formula unit.

The structure in extended XYZ format:
```
5
Lattice="4.9035 0.0000 0.0000 0.0000 4.9035 0.0000 0.0000 0.0000 4.9035" Properties=species:S:1:pos:R:3 pbc="T T T"
Sr 0.0000 0.0000 0.0000
Ti 0.0000 2.4518 2.4518
Ti 2.4518 0.0000 2.4518
Ti 2.4518 2.4518 0.0000
Br 2.4518 2.4518 2.4518
```



Entry 4:
VASP calculation (PBE) on crystalline SrTiBr3 at its relaxed geometry.

Computed properties:
As for the total DFT energy (no corrections): -18.00 eV for the cell shown. The distance to the lowest polymorph of the same formula comes out at 358.4 meV/atom. The value obtained for the formation energy (no corrections) is -3.40 eV per formula unit.

The structure in extended XYZ format:
```
5
Lattice="5.8990 0.0000 0.0000 0.0000 5.8990 0.0000 0.0000 0.0000 5.8990" Properties=species:S:1:pos:R:3 pbc="T T T"
Sr 0.0000 0.0000 0.0000
Ti 2.9495 2.9495 2.9495
Br 0.0000 0.0000 2.9495
Br 0.0000 2.9495 0.0000
Br 2.9495 0.0000 0.0000
```



Entry 5:
VASP calculation (PBE) on crystalline SrTiBr3 at its relaxed geometry.

Computed properties:
As for the total DFT energy (no corrections): -19.79 eV for the cell shown. The distance to the lowest polymorph of the same formula comes out at 0.0 meV/atom. The value obtained for the formation energy (no corrections) is -5.19 eV per formula unit.

The structure in extended XYZ format:
```
5
Lattice="5.3163 0.0000 0.0000 0.0000 5.3163 0.0000 0.0000 0.0000 5.3163" Properties=species:S:1:pos:R:3 pbc="T T T"
Sr 0.0000 0.0000 0.0000
Ti 2.6582 2.6582 2.6582
Br 0.0000 2.6582 2.6582
Br 2.6582 0.0000 2.6582
Br 2.6582 2.6582 0.0000
```



Entry 6:
VASP calculation (PBE) on crystalline SrTi2Br at its relaxed geometry.

Computed properties:
As for the total DFT energy (no corrections): -61.96 eV for the cell shown. The distance to the lowest polymorph of the same formula comes out at 564.1 meV/atom. The value obtained for the formation energy (no corrections) is 3.65 eV per formula unit.

The structure in extended XYZ format:
```
16
Lattice="7.1824 0.0000 0.0000 0.0000 7.1824 0.0000 0.0000 0.0000 7.1824" Properties=species:S:1:pos:R:3 pbc="T T T"
Sr 0.0000 0.0000 0.0000
Sr 0.0000 3.5912 3.5912
Sr 3.5912 0.0000 3.5912
Sr 3.5912 3.5912 0.0000
Ti 1.7956 1.7956 1.7956
Ti 1.7956 1.7956 5.3868
Ti 1.7956 5.3868 1.7956
Ti 1.7956 5.3868 5.3868
Ti 5.3868 1.7956 1.7956
Ti 5.3868 1.7956 5.3868
Ti 5.3868 5.3868 1.7956
Ti 5.3868 5.3868 5.3868
Br 0.0000 0.0000 3.5912
Br 0.0000 3.5912 0.0000
Br 3.5912 0.0000 0.0000
Br 3.5912 3.5912 3.5912
```